(1)
# Cr3SbP

A relaxed structure of Cr3SbP (GGA-PBE, Alexandria).

Computed properties:
The space group is Pm-3m. Its magnetization is 10.5 μB per formula unit. The value obtained for the excess energy over the best structure of this formula in the dataset is 0.000 eV/atom. Its raw formation energy is 32 kJ/mol of atoms.

The structure in extended XYZ format:
```
5
Lattice="-1.7263 3.7635 1.8977 -0.0798 -2.0796 4.0515 4.2142 1.5023 0.8542" Properties=species:S:1:pos:R:3 pbc="T T T"
Sb 1.2040 1.5931 3.4017
Cr -0.0399 -1.0398 2.0258
P 0.0000 0.0000 0.0000
Cr 2.1071 0.7512 0.4271
Cr -0.8632 1.8818 0.9489
```


(2)
# CrSbP2

A relaxed structure of CrSbP2 (GGA-PBE, Alexandria).

Computed properties:
The space group is Pm. Its magnetization is 1.7 μB per formula unit. Its raw formation energy is 11 kJ/mol of atoms.

The structure in extended XYZ format:
```
4
Lattice="3.3461 0.0000 0.0000 0.0000 3.7821 -0.0080 0.0000 1.7722 5.6326" Properties=species:S:1:pos:R:3 pbc="T T T"
Cr 1.6730 4.6847 4.4523
P 0.0000 3.4338 0.4501
P 1.6730 1.1579 0.3818
Sb 0.0000 2.8371 3.1446
```


(3)
# CrSbP2

A relaxed structure of CrSbP2 (GGA-PBE, Alexandria).

Computed properties:
The space group is Immm. Its magnetization is 1.7 μB per formula unit. Its raw formation energy is 38 kJ/mol of atoms.

The structure in extended XYZ format:
```
4
Lattice="5.5706 0.0538 -0.0801 2.1896 5.1225 0.0801 -2.9463 -3.9881 2.5407" Properties=species:S:1:pos:R:3 pbc="T T T"
P 3.4233 2.2834 0.0000
P 0.4568 0.3047 0.0000
Sb 3.2522 -0.6731 1.2303
Cr 1.5617 1.8613 1.3104
```